{
  "formula": "BPb2I2",
  "functional": "PBE-GGA",
  "state": "relaxed",
  "space_group": "I4/mmm",
  "dft_energy_ev_per_cell": -12.626,
  "m_tot_mub_per_cell": 0.00,
  "n_ef_per_ev_cell": 2.8,
  "relative_energy_mev_per_atom": 172,
  "lattice_angstrom": [[-0.593, -2.437, -3.636], [-2.549, -2.790, 2.285], [-9.029, 2.429, -2.838]],
  "species": ["Pb", "Pb", "I", "I", "B"],
  "fractional_positions": [[0.750, 0.250, 0.500], [0.250, 0.750, 0.500], [0.402, 0.402, 0.196], [0.598, 0.598, 0.804], [0.000, 0.000, 0.000]]
}

{
  "formula": "BPb3I",
  "functional": "PBE-GGA",
  "state": "relaxed",
  "space_group": "Pm-3m",
  "dft_energy_ev_per_cell": -16.449,
  "m_tot_mub_per_cell": 0.00,
  "n_ef_per_ev_cell": 6.9,
  "relative_energy_mev_per_atom": 0,
  "lattice_angstrom": [[5.294, 0.000, 0.000], [0.000, 5.294, 0.000], [0.000, 0.000, 5.294]],
  "species": ["Pb", "Pb", "Pb", "I", "B"],
  "fractional_positions": [[0.000, 0.500, 0.000], [0.000, 0.000, 0.500], [0.500, 0.000, 0.000], [0.500, 0.500, 0.500], [0.000, 0.000, 0.000]]
}

{
  "formula": "RbBPb2I",
  "functional": "PBE-GGA",
  "state": "relaxed",
  "space_group": "P4/mmm",
  "dft_energy_ev_per_cell": -11.282,
  "m_tot_mub_per_cell": 0.00,
  "n_ef_per_ev_cell": 3.2,
  "lattice_angstrom": [[-2.204, -0.449, -5.778], [-0.273, -5.324, 0.518], [-5.787, 0.508, 2.168]],
  "species": ["Pb", "Pb", "I", "B", "Rb"],
  "fractional_positions": [[0.000, 0.000, 0.500], [0.500, 0.000, 0.000], [0.000, 0.000, 0.000], [0.000, 0.500, 0.000], [0.500, 0.500, 0.500]]
}

{
  "formula": "BSbPbI2",
  "functional": "PBE-GGA",
  "state": "relaxed",
  "space_group": "P4/mmm",
  "dft_energy_ev_per_cell": -14.494,
  "m_tot_mub_per_cell": 0.00,
  "n_ef_per_ev_cell": 3.0,
  "relative_energy_mev_per_atom": 0,
  "lattice_angstrom": [[5.241, 0.000, 0.000], [0.000, 5.241, 0.000], [0.000, 0.000, 5.029]],
  "species": ["Pb", "I", "I", "B", "Sb"],
  "fractional_positions": [[0.500, 0.500, 0.500], [0.000, 0.500, 0.000], [0.500, 0.000, 0.000], [0.000, 0.000, 0.000], [0.000, 0.000, 0.500]]
}

{
  "formula": "BSbPbI2",
  "functional": "PBE-GGA",
  "state": "relaxed",
  "space_group": "P4/mmm",
  "dft_energy_ev_per_cell": -11.314,
  "m_tot_mub_per_cell": 1.67,
  "n_ef_per_ev_cell": 4.7,
  "relative_energy_mev_per_atom": 636,
  "lattice_angstrom": [[6.260, 0.000, 0.000], [0.000, 6.260, 0.000], [0.000, 0.000, 6.107]],
  "species": ["Pb", "I", "I", "B", "Sb"],
  "fractional_positions": [[0.000, 0.000, 0.000], [0.000, 0.500, 0.000], [0.500, 0.000, 0.000], [0.500, 0.500, 0.500], [0.000, 0.000, 0.500]]
}

{
  "formula": "BPb2SeI",
  "functional": "PBE-GGA",
  "state": "relaxed",
  "space_group": "P4/mmm",
  "dft_energy_ev_per_cell": -13.233,
  "m_tot_mub_per_cell": 0.00,
  "n_ef_per_ev_cell": 5.2,
  "lattice_angstrom": [[-1.250, -5.454, 2.409], [3.928, 0.068, 2.192], [-2.694, 2.712, 4.743]],
  "species": ["Pb", "Pb", "I", "B", "Se"],
  "fractional_positions": [[0.000, 0.000, 0.500], [0.500, 0.000, 0.000], [0.000, 0.000, 0.000], [0.000, 0.500, 0.000], [0.500, 0.500, 0.500]]
}

{
  "formula": "SiB2PbI",
  "functional": "PBE-GGA",
  "state": "relaxed",
  "space_group": "P4/mmm",
  "dft_energy_ev_per_cell": -18.020,
  "m_tot_mub_per_cell": 0.00,
  "n_ef_per_ev_cell": 3.5,
  "lattice_angstrom": [[4.281, 0.000, 0.000], [0.000, 6.120, 0.000], [0.000, 0.000, 4.281]],
  "species": ["Pb", "I", "Si", "B", "B"],
  "fractional_positions": [[0.000, 0.500, 0.000], [0.500, 0.500, 0.500], [0.000, 0.000, 0.000], [0.000, 0.000, 0.500], [0.500, 0.000, 0.000]]
}

{
  "formula": "Sn2BPbI",
  "functional": "PBE-GGA",
  "state": "relaxed",
  "space_group": "P4/mmm",
  "dft_energy_ev_per_cell": -12.436,
  "m_tot_mub_per_cell": 0.00,
  "n_ef_per_ev_cell": 4.6,
  "lattice_angstrom": [[-4.071, -0.843, -4.147], [-3.992, -2.058, 4.337], [-1.952, 5.479, 0.803]],
  "species": ["Pb", "I", "B", "Sn", "Sn"],
  "fractional_positions": [[0.000, 0.000, 0.000], [0.000, 0.500, 0.000], [0.500, 0.500, 0.500], [0.000, 0.000, 0.500], [0.500, 0.000, 0.000]]
}

{
  "formula": "BTe2PbI",
  "functional": "PBE-GGA",
  "state": "relaxed",
  "space_group": "P4/mmm",
  "dft_energy_ev_per_cell": -11.685,
  "m_tot_mub_per_cell": 0.00,
  "n_ef_per_ev_cell": 7.5,
  "relative_energy_mev_per_atom": 818,
  "lattice_angstrom": [[5.912, 0.000, 0.000], [0.000, 5.912, 0.000], [0.000, 0.000, 6.208]],
  "species": ["Pb", "I", "B", "Te", "Te"],
  "fractional_positions": [[0.000, 0.000, 0.000], [0.000, 0.000, 0.500], [0.500, 0.500, 0.500], [0.000, 0.500, 0.000], [0.500, 0.000, 0.000]]
}

{
  "formula": "BTe2PbI",
  "functional": "PBE-GGA",
  "state": "relaxed",
  "space_group": "P4/mmm",
  "dft_energy_ev_per_cell": -15.776,
  "m_tot_mub_per_cell": 0.00,
  "n_ef_per_ev_cell": 3.7,
  "relative_energy_mev_per_atom": 0,
  "lattice_angstrom": [[-3.253, 0.313, 3.733], [1.240, -4.575, 1.464], [3.939, 2.110, 3.255]],
  "species": ["Pb", "I", "B", "Te", "Te"],
  "fractional_positions": [[0.500, 0.500, 0.500], [0.000, 0.000, 0.500], [0.000, 0.000, 0.000], [0.000, 0.500, 0.000], [0.500, 0.000, 0.000]]
}

{
  "formula": "VB2PbI",
  "functional": "PBE-GGA",
  "state": "relaxed",
  "space_group": "P4/mmm",
  "dft_energy_ev_per_cell": -21.753,
  "m_tot_mub_per_cell": 0.00,
  "n_ef_per_ev_cell": 2.9,
  "lattice_angstrom": [[4.334, 0.000, 0.000], [0.000, 5.458, 0.000], [0.000, 0.000, 4.334]],
  "species": ["Pb", "I", "B", "B", "V"],
  "fractional_positions": [[0.500, 0.500, 0.500], [0.000, 0.500, 0.000], [0.000, 0.000, 0.500], [0.500, 0.000, 0.000], [0.000, 0.000, 0.000]]
}

{
  "formula": "B3PdI",
  "functional": "PBE-GGA",
  "state": "relaxed",
  "space_group": "Pm-3m",
  "dft_energy_ev_per_cell": -13.561,
  "m_tot_mub_per_cell": 0.00,
  "n_ef_per_ev_cell": 2.6,
  "relative_energy_mev_per_atom": 1276,
  "lattice_angstrom": [[4.371, 0.000, 0.000], [0.000, 4.371, 0.000], [0.000, 0.000, 4.371]],
  "species": ["I", "B", "B", "B", "Pd"],
  "fractional_positions": [[0.000, 0.000, 0.000], [0.000, 0.500, 0.000], [0.000, 0.000, 0.500], [0.500, 0.000, 0.000], [0.500, 0.500, 0.500]]
}

{
  "formula": "B3PdI",
  "functional": "PBE-GGA",
  "state": "relaxed",
  "space_group": "Pm-3m",
  "dft_energy_ev_per_cell": -19.940,
  "m_tot_mub_per_cell": 0.00,
  "n_ef_per_ev_cell": 0.3,
  "relative_energy_mev_per_atom": 0,
  "lattice_angstrom": [[-2.808, 2.401, -2.200], [-3.085, -1.032, 2.811], [1.042, 3.414, 2.396]],
  "species": ["I", "B", "B", "B", "Pd"],
  "fractional_positions": [[0.500, 0.500, 0.500], [0.000, 0.500, 0.000], [0.000, 0.000, 0.500], [0.500, 0.000, 0.000], [0.000, 0.000, 0.000]]
}

{
  "formula": "BPd2I",
  "functional": "PBE-GGA",
  "state": "relaxed",
  "space_group": "I-42d",
  "dft_energy_ev_per_cell": -35.439,
  "m_tot_mub_per_cell": 0.00,
  "n_ef_per_ev_cell": 0.0,
  "relative_energy_mev_per_atom": 0,
  "lattice_angstrom": [[-3.908, 1.865, 2.886], [-1.051, -4.810, 1.685], [1.278, -0.688, 6.866]],
  "species": ["I", "I", "B", "B", "Pd", "Pd", "Pd", "Pd"],
  "fractional_positions": [[0.000, 0.000, 0.000], [0.750, 0.250, 0.500], [0.500, 0.500, 0.000], [0.250, 0.750, 0.500], [0.504, 0.125, 0.250], [0.246, 0.625, 0.250], [0.375, 0.496, 0.750], [0.875, 0.754, 0.750]]
}

{
  "formula": "B2PdI8",
  "functional": "PBE-GGA",
  "state": "relaxed",
  "space_group": "C2/m",
  "dft_energy_ev_per_cell": -31.712,
  "m_tot_mub_per_cell": 0.00,
  "lattice_angstrom": [[7.477, -0.301, -0.228], [-0.380, 8.253, 0.047], [-0.380, 2.268, 7.935]],
  "species": ["B", "B", "Pd", "I", "I", "I", "I", "I", "I", "I", "I"],
  "fractional_positions": [[0.676, 0.787, 0.787], [0.324, 0.213, 0.213], [0.000, 0.000, 0.000], [0.175, 0.298, 0.947], [0.825, 0.053, 0.702], [0.388, 0.807, 0.807], [0.612, 0.193, 0.193], [0.175, 0.947, 0.298], [0.825, 0.702, 0.053], [0.731, 0.627, 0.627], [0.269, 0.373, 0.373]]
}

{
  "formula": "BPd2I",
  "functional": "PBE-GGA",
  "state": "relaxed",
  "space_group": "Fm-3m",
  "dft_energy_ev_per_cell": -15.040,
  "m_tot_mub_per_cell": 0.00,
  "n_ef_per_ev_cell": 1.7,
  "relative_energy_mev_per_atom": 670,
  "lattice_angstrom": [[-1.690, 0.180, 4.237], [-4.013, 2.036, 0.772], [-3.653, -2.503, 1.108]],
  "species": ["I", "B", "Pd", "Pd"],
  "fractional_positions": [[0.500, 0.500, 0.500], [0.000, 0.000, 0.000], [0.250, 0.250, 0.250], [0.750, 0.750, 0.750]]
}

{
  "formula": "BPdI",
  "functional": "PBE-GGA",
  "state": "relaxed",
  "space_group": "R-3m",
  "dft_energy_ev_per_cell": -24.625,
  "m_tot_mub_per_cell": 0.00,
  "n_ef_per_ev_cell": 4.3,
  "lattice_angstrom": [[3.265, 0.000, 0.000], [1.633, 2.828, 0.000], [1.633, 0.943, 13.165]],
  "species": ["I", "I", "B", "B", "Pd", "Pd"],
  "fractional_positions": [[0.280, 0.280, 0.160], [0.720, 0.720, 0.840], [0.167, 0.167, 0.498], [0.833, 0.833, 0.502], [0.464, 0.464, 0.607], [0.536, 0.536, 0.393]]
}

{
  "formula": "BPd2I8",
  "functional": "PBE-GGA",
  "state": "relaxed",
  "space_group": "C2/m",
  "dft_energy_ev_per_cell": -27.090,
  "m_tot_mub_per_cell": 0.00,
  "n_ef_per_ev_cell": 5.0,
  "lattice_angstrom": [[-10.190, 0.805, 5.621], [3.005, -4.956, -5.948], [1.580, -6.000, 3.724]],
  "species": ["B", "Pd", "Pd", "I", "I", "I", "I", "I", "I", "I", "I"],
  "fractional_positions": [[0.000, 0.000, 0.000], [0.821, 0.642, 0.649], [0.179, 0.358, 0.351], [0.936, 0.165, 0.155], [0.229, 0.165, 0.155], [0.064, 0.835, 0.845], [0.414, 0.828, 0.195], [0.771, 0.835, 0.845], [0.772, 0.543, 0.321], [0.228, 0.457, 0.679], [0.586, 0.172, 0.805]]
}

{
  "formula": "BPdRhI2",
  "functional": "PBE-GGA",
  "state": "relaxed",
  "space_group": "P4/mmm",
  "dft_energy_ev_per_cell": -17.210,
  "m_tot_mub_per_cell": 0.79,
  "n_ef_per_ev_cell": 5.0,
  "lattice_angstrom": [[5.032, 0.000, 0.000], [0.000, 4.117, 0.000], [0.000, 0.000, 5.032]],
  "species": ["I", "I", "B", "Rh", "Pd"],
  "fractional_positions": [[0.000, 0.000, 0.500], [0.500, 0.000, 0.000], [0.000, 0.000, 0.000], [0.500, 0.500, 0.500], [0.000, 0.500, 0.000]]
}

{
  "formula": "BSbPdI2",
  "functional": "PBE-GGA",
  "state": "relaxed",
  "space_group": "P4/mmm",
  "dft_energy_ev_per_cell": -14.206,
  "m_tot_mub_per_cell": 0.00,
  "n_ef_per_ev_cell": 4.8,
  "relative_energy_mev_per_atom": 0,
  "lattice_angstrom": [[5.009, 0.000, 0.000], [0.000, 5.009, 0.000], [0.000, 0.000, 4.879]],
  "species": ["I", "I", "Sb", "B", "Pd"],
  "fractional_positions": [[0.000, 0.500, 0.000], [0.500, 0.000, 0.000], [0.000, 0.000, 0.500], [0.000, 0.000, 0.000], [0.500, 0.500, 0.500]]
}

{
  "formula": "BSbPdI2",
  "functional": "PBE-GGA",
  "state": "relaxed",
  "space_group": "P4/mmm",
  "dft_energy_ev_per_cell": -13.496,
  "m_tot_mub_per_cell": 0.00,
  "n_ef_per_ev_cell": 4.1,
  "relative_energy_mev_per_atom": 142,
  "lattice_angstrom": [[-3.574, 4.159, -0.967], [-3.680, -3.640, -2.053], [-1.998, -0.626, 4.692]],
  "species": ["I", "I", "Sb", "B", "Pd"],
  "fractional_positions": [[0.000, 0.500, 0.000], [0.500, 0.000, 0.000], [0.000, 0.000, 0.500], [0.500, 0.500, 0.500], [0.000, 0.000, 0.000]]
}

{
  "formula": "BSb2PdI",
  "functional": "PBE-GGA",
  "state": "relaxed",
  "space_group": "P4/mmm",
  "dft_energy_ev_per_cell": -17.237,
  "m_tot_mub_per_cell": 0.00,
  "n_ef_per_ev_cell": 2.8,
  "relative_energy_mev_per_atom": 0,
  "lattice_angstrom": [[4.856, 0.000, 0.000], [0.000, 4.856, 0.000], [0.000, 0.000, 4.782]],
  "species": ["I", "Sb", "Sb", "B", "Pd"],
  "fractional_positions": [[0.000, 0.000, 0.500], [0.000, 0.500, 0.000], [0.500, 0.000, 0.000], [0.000, 0.000, 0.000], [0.500, 0.500, 0.500]]
}

{
  "formula": "BSb2PdI",
  "functional": "PBE-GGA",
  "state": "relaxed",
  "space_group": "P4/mmm",
  "dft_energy_ev_per_cell": -15.509,
  "m_tot_mub_per_cell": 0.00,
  "n_ef_per_ev_cell": 5.5,
  "relative_energy_mev_per_atom": 346,
  "lattice_angstrom": [[-4.276, 1.532, 2.464], [-1.952, -4.766, -0.425], [2.364, -1.413, 4.982]],
  "species": ["I", "Sb", "Sb", "B", "Pd"],
  "fractional_positions": [[0.000, 0.000, 0.500], [0.000, 0.500, 0.000], [0.500, 0.000, 0.000], [0.500, 0.500, 0.500], [0.000, 0.000, 0.000]]
}

{
  "formula": "SnB2PdI",
  "functional": "PBE-GGA",
  "state": "relaxed",
  "space_group": "P4/mmm",
  "dft_energy_ev_per_cell": -13.779,
  "m_tot_mub_per_cell": 0.00,
  "n_ef_per_ev_cell": 2.5,
  "lattice_angstrom": [[-3.941, 0.694, 1.901], [-2.707, -2.388, -4.741], [0.210, -3.999, 1.894]],
  "species": ["I", "B", "B", "Sn", "Pd"],
  "fractional_positions": [[0.000, 0.000, 0.000], [0.000, 0.000, 0.500], [0.500, 0.000, 0.000], [0.000, 0.500, 0.000], [0.500, 0.500, 0.500]]
}

{
  "formula": "BTePdI2",
  "functional": "PBE-GGA",
  "state": "relaxed",
  "space_group": "P4/mmm",
  "dft_energy_ev_per_cell": -13.328,
  "m_tot_mub_per_cell": 0.00,
  "n_ef_per_ev_cell": 5.2,
  "relative_energy_mev_per_atom": 0,
  "lattice_angstrom": [[-2.405, -4.343, -0.406], [2.195, -0.804, -4.398], [3.761, -2.298, 2.297]],
  "species": ["I", "I", "B", "Te", "Pd"],
  "fractional_positions": [[0.000, 0.500, 0.000], [0.500, 0.000, 0.000], [0.000, 0.000, 0.000], [0.000, 0.000, 0.500], [0.500, 0.500, 0.500]]
}

{
  "formula": "BTe2PdI",
  "functional": "PBE-GGA",
  "state": "relaxed",
  "space_group": "P4/mmm",
  "dft_energy_ev_per_cell": -13.993,
  "m_tot_mub_per_cell": 0.00,
  "n_ef_per_ev_cell": 6.0,
  "relative_energy_mev_per_atom": 235,
  "lattice_angstrom": [[-3.288, -3.527, -2.152], [4.124, -2.634, -1.983], [0.263, -3.056, 4.607]],
  "species": ["I", "B", "Te", "Te", "Pd"],
  "fractional_positions": [[0.000, 0.000, 0.500], [0.500, 0.500, 0.500], [0.000, 0.500, 0.000], [0.500, 0.000, 0.000], [0.000, 0.000, 0.000]]
}

{
  "formula": "BTePdI2",
  "functional": "PBE-GGA",
  "state": "relaxed",
  "space_group": "P4/mmm",
  "dft_energy_ev_per_cell": -12.800,
  "m_tot_mub_per_cell": 0.00,
  "n_ef_per_ev_cell": 5.1,
  "relative_energy_mev_per_atom": 106,
  "lattice_angstrom": [[-1.308, -1.000, -5.266], [-0.062, -5.417, 1.044], [-5.110, 0.292, 1.214]],
  "species": ["I", "I", "B", "Te", "Pd"],
  "fractional_positions": [[0.000, 0.500, 0.000], [0.500, 0.000, 0.000], [0.500, 0.500, 0.500], [0.000, 0.000, 0.500], [0.000, 0.000, 0.000]]
}

{
  "formula": "BTe2PdI",
  "functional": "PBE-GGA",
  "state": "relaxed",
  "space_group": "P4/mmm",
  "dft_energy_ev_per_cell": -15.168,
  "m_tot_mub_per_cell": 0.00,
  "n_ef_per_ev_cell": 4.7,
  "relative_energy_mev_per_atom": 0,
  "lattice_angstrom": [[-0.718, 3.782, 2.993], [-3.467, -2.509, 2.338], [3.377, -1.796, 3.079]],
  "species": ["I", "B", "Te", "Te", "Pd"],
  "fractional_positions": [[0.000, 0.000, 0.500], [0.000, 0.000, 0.000], [0.000, 0.500, 0.000], [0.500, 0.000, 0.000], [0.500, 0.500, 0.500]]
}